BaPuCrO6: optimized geometry, PBE with a Hubbard U.

Summary:
Uncorrected energy, eV/atom: -8.3659

Cell and atoms, written as extended XYZ:
```
18
Lattice="5.3782 0.0000 0.0000 -2.6891 4.6577 0.0000 0.0000 0.0000 11.7088" Properties=species:S:1:pos:R:3 pbc="T T T"
Ba 0.0000 0.0000 0.0000
Ba 0.0000 0.0000 5.8544
Pu 0.0000 3.1051 2.9272
Pu 2.6891 1.5526 8.7816
Cr 0.0000 3.1051 8.7816
Cr 2.6891 1.5526 2.9272
O -1.0047 1.7437 1.8182
O 4.3704 1.7419 7.6726
O -1.6813 2.9157 4.0362
O 3.6938 2.9139 9.8906
O -0.6766 4.6559 1.8182
O 2.0125 0.0018 7.6726
O 1.0047 1.7437 4.0362
O 1.0078 1.7419 9.8906
O 0.6766 4.6559 4.0362
O 3.3658 0.0018 9.8906
O 1.6813 2.9157 1.8182
O 1.6844 2.9139 7.6726
```